Material: MnPHCl2
Method: DFT, PBE-GGA
State: optimized geometry

Summary:
SG   P4/mmm
Excess energy over the best structure of this formula in the dataset   0.120 eV per atom
Electronic total energy   -3.889 eV per atom

Unit cell a=4.9617 b=4.9617 c=3.2660 alpha=90.00 beta=90.00 gamma=90.00
Each line ends with the local moment (μB).
Fractional coordinates of all 5 atoms:
H 0.0000 0.0000 0.0000  0.00
Mn 0.5000 0.5000 0.5000  4.21
Cl 0.5000 0.0000 0.0000  0.01
P 0.0000 0.0000 0.5000  -0.09
Cl 0.0000 0.5000 0.0000  0.01